1.
{"formula": "LiCu8Se6", "functional": "GGA-PBE", "state": "optimized geometry", "cell": [[-4.666, -3.808, -3.226], [1.882, -4.065, -5.159], [0.184, -7.758, 1.656]], "species": ["Li", "Cu", "Cu", "Cu", "Cu", "Cu", "Cu", "Cu", "Cu", "Se", "Se", "Se", "Se", "Se", "Se"], "frac_coords": [[0.000, 0.000, 0.000], [0.879, 0.379, 0.576], [0.834, 0.121, 0.424], [0.621, 0.834, 0.424], [0.435, 0.435, 0.696], [0.565, 0.565, 0.304], [0.379, 0.166, 0.576], [0.166, 0.879, 0.576], [0.121, 0.621, 0.424], [0.941, 0.583, 0.229], [0.752, 0.059, 0.771], [0.417, 0.752, 0.771], [0.583, 0.248, 0.229], [0.248, 0.941, 0.229], [0.059, 0.417, 0.771]], "mass_density_g_cm3": 5.90, "e_form_raw_ev_per_atom": -0.2007}


2.
{"formula": "YSb2Ir", "functional": "GGA-PBE", "state": "optimized geometry", "cell": [[6.462, 0.000, 0.000], [0.000, 6.462, 0.000], [3.231, 3.231, 6.322]], "species": ["Y", "Y", "Sb", "Sb", "Sb", "Sb", "Ir", "Ir"], "frac_coords": [[0.500, 0.500, 0.000], [0.250, 0.750, 0.500], [0.691, 0.125, 0.250], [0.059, 0.625, 0.250], [0.375, 0.309, 0.750], [0.875, 0.941, 0.750], [0.000, 0.000, 0.000], [0.750, 0.250, 0.500]], "mass_density_g_cm3": 6.60, "e_form_raw_ev_per_atom": -0.0022}


3.
{"formula": "Ac3In4Ni4", "functional": "GGA-PBE", "state": "optimized geometry", "cell": [[-0.699, 4.093, 0.197], [-4.905, -0.527, -6.471], [-3.071, -3.005, 7.688]], "species": ["Ac", "Ac", "Ac", "In", "In", "In", "In", "Ni", "Ni", "Ni", "Ni"], "frac_coords": [[0.117, 0.117, 0.234], [0.883, 0.883, 0.766], [0.000, 0.500, 0.000], [0.326, 0.136, 0.651], [0.674, 0.484, 0.349], [0.674, 0.864, 0.349], [0.326, 0.516, 0.651], [0.230, 0.730, 0.459], [0.770, 0.270, 0.541], [0.500, 0.788, 0.000], [0.500, 0.212, 0.000]], "e_form_ev_per_atom": -0.3430, "mass_density_g_cm3": 8.97}


4.
{"formula": "TaTl2AgSe4", "functional": "GGA-PBE", "state": "optimized geometry", "cell": [[-3.672, -2.666, 5.217], [5.157, -4.260, -1.753], [2.827, 6.028, 1.866]], "species": ["Ta", "Tl", "Tl", "Ag", "Se", "Se", "Se", "Se"], "frac_coords": [[0.000, 0.500, 0.500], [0.500, 0.750, 0.250], [0.000, 0.000, 0.000], [0.500, 0.250, 0.750], [0.647, 0.467, 0.518], [0.051, 0.180, 0.533], [0.949, 0.482, 0.129], [0.353, 0.871, 0.820]], "mass_density_g_cm3": 6.62, "e_form_raw_ev_per_atom": -0.4697}


5.
{"formula": "In2CuSe", "functional": "GGA-PBE", "state": "optimized geometry", "cell": [[4.945, 0.055, 0.000], [-1.056, 4.831, 0.000], [0.000, 0.000, 3.688]], "species": ["Cu", "In", "In", "Se"], "frac_coords": [[0.000, 0.500, 0.500], [0.000, 0.000, 0.000], [0.500, 0.500, 0.000], [0.500, 0.000, 0.500]], "mass_density_g_cm3": 7.00, "e_form_raw_ev_per_atom": 0.0894}


6.
{"formula": "Cs6MnBr8", "functional": "GGA-PBE", "state": "optimized geometry", "cell": [[-1.067, 9.101, -0.621], [-8.541, 2.319, 2.455], [0.067, 3.733, 8.392]], "species": ["Cs", "Cs", "Cs", "Cs", "Cs", "Cs", "Mn", "Br", "Br", "Br", "Br", "Br", "Br", "Br", "Br"], "frac_coords": [[0.059, 0.485, 0.702], [0.298, 0.941, 0.515], [0.515, 0.298, 0.941], [0.485, 0.702, 0.059], [0.702, 0.059, 0.485], [0.941, 0.515, 0.298], [0.000, 0.000, 0.000], [0.144, 0.714, 0.912], [0.088, 0.856, 0.286], [0.286, 0.088, 0.856], [0.652, 0.652, 0.652], [0.348, 0.348, 0.348], [0.714, 0.912, 0.144], [0.912, 0.144, 0.714], [0.856, 0.286, 0.088]], "mass_density_g_cm3": 3.74, "e_form_raw_ev_per_atom": -1.5598}


7.
{"formula": "MnCBr2", "functional": "GGA-PBE", "state": "optimized geometry", "cell": [[5.998, 0.000, 0.000], [0.000, 5.998, 0.000], [2.999, 2.999, 4.760]], "species": ["C", "C", "Mn", "Mn", "Br", "Br", "Br", "Br"], "frac_coords": [[0.500, 0.500, 0.000], [0.250, 0.750, 0.500], [0.000, 0.000, 0.000], [0.750, 0.250, 0.500], [0.657, 0.125, 0.250], [0.093, 0.625, 0.250], [0.375, 0.343, 0.750], [0.875, 0.907, 0.750]], "mass_density_g_cm3": 4.40, "e_form_raw_ev_per_atom": 1.8056}


8.
{"formula": "Sr2GaSi4Pt3", "functional": "GGA-PBE", "state": "optimized geometry", "cell": [[4.293, 0.000, 0.000], [0.000, 4.293, 0.000], [0.000, 0.000, 10.222]], "species": ["Sr", "Sr", "Ga", "Si", "Si", "Si", "Si", "Pt", "Pt", "Pt"], "frac_coords": [[0.500, 0.000, 0.248], [0.000, 0.500, 0.752], [0.500, 0.500, 0.500], [0.500, 0.500, 0.000], [0.000, 0.000, 0.000], [0.500, 0.000, 0.639], [0.000, 0.500, 0.361], [0.000, 0.000, 0.500], [0.500, 0.000, 0.881], [0.000, 0.500, 0.119]], "mass_density_g_cm3": 8.31, "e_form_raw_ev_per_atom": -0.7964}


9.
{"formula": "PmTlGeCl6", "functional": "GGA-PBE", "state": "optimized geometry", "cell": [[7.097, 0.000, 0.000], [-3.548, 6.146, 0.000], [0.000, 0.000, 13.899]], "species": ["Pm", "Pm", "Tl", "Tl", "Ge", "Ge", "Cl", "Cl", "Cl", "Cl", "Cl", "Cl", "Cl", "Cl", "Cl", "Cl", "Cl", "Cl"], "frac_coords": [[0.667, 0.333, 0.250], [0.333, 0.667, 0.750], [0.000, 0.000, 0.000], [0.000, 0.000, 0.500], [0.333, 0.667, 0.250], [0.667, 0.333, 0.750], [0.627, 0.632, 0.140], [0.004, 0.373, 0.140], [0.373, 0.004, 0.640], [0.996, 0.627, 0.860], [0.368, 0.373, 0.360], [0.004, 0.632, 0.360], [0.632, 0.004, 0.860], [0.627, 0.996, 0.360], [0.996, 0.368, 0.640], [0.368, 0.996, 0.140], [0.632, 0.627, 0.640], [0.373, 0.368, 0.860]], "mass_density_g_cm3": 3.48, "e_form_raw_ev_per_atom": -1.5197}


10.
{"formula": "KNa4Pt", "functional": "GGA-PBE", "state": "optimized geometry", "cell": [[-0.058, 0.294, -5.445], [-1.581, -8.037, -0.417], [-9.167, 5.825, 3.144]], "species": ["K", "K", "Na", "Na", "Na", "Na", "Na", "Na", "Na", "Na", "Pt", "Pt"], "frac_coords": [[0.213, 0.213, 0.427], [0.787, 0.787, 0.573], [0.871, 0.371, 0.743], [0.590, 0.355, 0.180], [0.000, 0.192, 0.000], [0.410, 0.175, 0.820], [0.129, 0.629, 0.257], [0.410, 0.645, 0.820], [0.000, 0.808, 0.000], [0.590, 0.825, 0.180], [0.748, 0.500, 0.000], [0.252, 0.500, 0.000]], "e_form_ev_per_atom": -0.0699, "mass_density_g_cm3": 2.38}


11.
{"formula": "Cs3SbH2S4O", "functional": "GGA-PBE", "state": "optimized geometry", "cell": [[-5.197, 2.274, 8.187], [-2.958, -9.753, 0.831], [10.717, -2.634, 7.240]], "species": ["Cs", "Cs", "Cs", "Cs", "Cs", "Cs", "Cs", "Cs", "Cs", "Cs", "Cs", "Cs", "Sb", "Sb", "Sb", "Sb", "H", "H", "H", "H", "H", "H", "H", "H", "S", "S", "S", "S", "S", "S", "S", "S", "S", "S", "S", "S", "S", "S", "S", "S", "O", "O", "O", "O"], "frac_coords": [[0.901, 0.636, 0.793], [0.599, 0.136, 0.707], [0.099, 0.364, 0.207], [0.401, 0.864, 0.293], [0.239, 0.914, 0.951], [0.261, 0.414, 0.549], [0.761, 0.086, 0.049], [0.739, 0.586, 0.451], [0.159, 0.917, 0.577], [0.341, 0.417, 0.923], [0.841, 0.083, 0.423], [0.659, 0.583, 0.077], [0.481, 0.707, 0.720], [0.019, 0.207, 0.780], [0.519, 0.293, 0.280], [0.981, 0.793, 0.220], [0.733, 0.855, 0.599], [0.767, 0.355, 0.901], [0.267, 0.145, 0.401], [0.233, 0.645, 0.099], [0.852, 0.913, 0.667], [0.648, 0.413, 0.833], [0.148, 0.087, 0.333], [0.352, 0.587, 0.167], [0.989, 0.338, 0.926], [0.511, 0.838, 0.574], [0.011, 0.662, 0.074], [0.489, 0.162, 0.426], [0.917, 0.002, 0.810], [0.583, 0.502, 0.690], [0.083, 0.998, 0.190], [0.417, 0.498, 0.310], [0.250, 0.670, 0.746], [0.250, 0.170, 0.754], [0.750, 0.330, 0.254], [0.750, 0.830, 0.246], [0.580, 0.810, 0.863], [0.920, 0.310, 0.637], [0.420, 0.190, 0.137], [0.080, 0.690, 0.363], [0.833, 0.864, 0.603], [0.667, 0.364, 0.897], [0.167, 0.136, 0.397], [0.333, 0.636, 0.103]], "e_tot_ev_per_atom": -4.1356, "mass_density_g_cm3": 3.30}


12.
{"formula": "NdPS4", "functional": "GGA-PBE", "state": "optimized geometry", "cell": [[-2.429, -1.105, -10.717], [-8.847, -3.477, 8.054], [-8.512, 6.932, 1.215]], "species": ["Nd", "Nd", "Nd", "Nd", "Nd", "Nd", "Nd", "Nd", "P", "P", "P", "P", "P", "P", "P", "P", "S", "S", "S", "S", "S", "S", "S", "S", "S", "S", "S", "S", "S", "S", "S", "S", "S", "S", "S", "S", "S", "S", "S", "S", "S", "S", "S", "S", "S", "S", "S", "S"], "frac_coords": [[0.500, 0.000, 0.500], [0.250, 0.500, 0.250], [0.750, 0.500, 0.750], [0.000, 0.000, 0.000], [0.250, 0.500, 0.750], [0.000, 0.000, 0.500], [0.500, 0.000, 0.000], [0.750, 0.500, 0.250], [0.625, 0.750, 0.163], [0.625, 0.750, 0.663], [0.163, 0.250, 0.125], [0.087, 0.250, 0.625], [0.125, 0.750, 0.587], [0.125, 0.750, 0.087], [0.587, 0.250, 0.625], [0.663, 0.250, 0.125], [0.988, 0.247, 0.469], [0.259, 0.247, 0.284], [0.281, 0.747, 0.491], [0.466, 0.747, 0.762], [0.991, 0.253, 0.781], [0.262, 0.253, 0.966], [0.784, 0.753, 0.759], [0.969, 0.753, 0.488], [0.778, 0.426, 0.539], [0.714, 0.926, 0.972], [0.211, 0.926, 0.103], [0.472, 0.074, 0.214], [0.603, 0.074, 0.711], [0.039, 0.574, 0.278], [0.536, 0.574, 0.147], [0.647, 0.426, 0.036], [0.972, 0.074, 0.211], [0.036, 0.574, 0.778], [0.539, 0.574, 0.647], [0.278, 0.426, 0.536], [0.147, 0.426, 0.039], [0.711, 0.926, 0.472], [0.214, 0.926, 0.603], [0.103, 0.074, 0.714], [0.491, 0.253, 0.466], [0.469, 0.753, 0.259], [0.284, 0.753, 0.988], [0.759, 0.247, 0.969], [0.488, 0.247, 0.784], [0.966, 0.747, 0.991], [0.781, 0.747, 0.262], [0.762, 0.253, 0.281]], "mass_density_g_cm3": 3.40, "e_form_raw_ev_per_atom": -1.0672}


13.
{"formula": "PmInGePt", "functional": "GGA-PBE", "state": "optimized geometry", "cell": [[-2.230, 3.949, 2.013], [-4.383, 1.534, -1.748], [-4.102, -0.590, 2.727]], "species": ["Ge", "In", "Pt", "Pm"], "frac_coords": [[0.250, 0.250, 0.250], [0.000, 0.000, 0.000], [0.750, 0.750, 0.750], [0.500, 0.500, 0.500]], "e_form_ev_per_atom": -0.5982, "mass_density_g_cm3": 10.14}


14.
{"formula": "BeBr2Cl", "functional": "GGA-PBE", "state": "optimized geometry", "cell": [[-1.823, 6.351, -2.088], [-6.353, 1.495, 2.329], [6.805, -1.117, 0.682]], "species": ["Be", "Br", "Br", "Cl"], "frac_coords": [[0.750, 0.250, 0.500], [0.893, 0.893, 0.000], [0.607, 0.607, 0.000], [0.250, 0.750, 0.500]], "mass_density_g_cm3": 2.65, "e_form_raw_ev_per_atom": -0.3154}


15.
{"formula": "Pr2Dy2Tl7", "functional": "GGA-PBE", "state": "optimized geometry", "cell": [[7.176, -0.003, -0.480], [0.003, 7.218, 0.003], [-0.926, -0.003, 7.132]], "species": ["Pr", "Pr", "Dy", "Dy", "Tl", "Tl", "Tl", "Tl", "Tl", "Tl", "Tl"], "frac_coords": [[0.815, 0.500, 0.815], [0.185, 0.500, 0.185], [0.709, 0.000, 0.291], [0.291, 0.000, 0.709], [0.000, 0.283, 0.500], [0.500, 0.717, 0.000], [0.000, 0.717, 0.500], [0.500, 0.283, 0.000], [0.000, 0.000, 0.000], [0.500, 0.713, 0.500], [0.500, 0.287, 0.500]], "e_form_ev_per_atom": 0.0436, "mass_density_g_cm3": 9.24}


16.
{"formula": "La9Tl3C2", "functional": "GGA-PBE", "state": "optimized geometry", "cell": [[-6.844, 1.239, 2.328], [1.772, -6.509, -2.879], [2.247, -3.023, 8.216]], "species": ["La", "La", "La", "La", "La", "La", "La", "La", "La", "Tl", "Tl", "Tl", "C", "C"], "frac_coords": [[0.171, 0.829, 0.671], [0.171, 0.342, 0.671], [0.500, 0.500, 0.000], [0.829, 0.658, 0.329], [0.342, 0.171, 0.329], [0.658, 0.829, 0.671], [0.829, 0.171, 0.329], [0.000, 0.500, 0.000], [0.500, 0.000, 0.000], [0.667, 0.333, 0.667], [0.000, 0.000, 0.000], [0.333, 0.667, 0.333], [0.667, 0.333, 0.179], [0.333, 0.667, 0.821]], "e_form_ev_per_atom": -0.3141, "mass_density_g_cm3": 7.44}


17.
{"formula": "CeYNi2Ge2", "functional": "GGA-PBE", "state": "optimized geometry", "cell": [[4.174, 0.000, 0.000], [-2.087, 3.615, 0.000], [0.000, 0.000, 7.586]], "species": ["Ce", "Y", "Ni", "Ni", "Ge", "Ge"], "frac_coords": [[0.000, 0.000, 0.000], [0.000, 0.000, 0.500], [0.667, 0.333, 0.256], [0.333, 0.667, 0.744], [0.667, 0.333, 0.747], [0.333, 0.667, 0.253]], "e_form_ev_per_atom": -0.7496, "mass_density_g_cm3": 7.13}


18.
{"formula": "AlVMo6", "functional": "GGA-PBE", "state": "optimized geometry", "cell": [[-2.515, 3.688, 1.121], [0.611, 0.730, 4.503], [4.817, 5.173, 0.073]], "species": ["Al", "V", "Mo", "Mo", "Mo", "Mo", "Mo", "Mo"], "frac_coords": [[0.500, 0.500, 0.500], [0.000, 0.000, 0.000], [0.482, 0.937, 0.704], [0.937, 0.482, 0.704], [0.063, 0.518, 0.296], [0.518, 0.063, 0.296], [0.642, 0.642, 0.079], [0.358, 0.358, 0.921]], "e_form_ev_per_atom": 0.5303, "mass_density_g_cm3": 7.87}


19.
{"formula": "TaZn3Fe", "functional": "GGA-PBE", "state": "optimized geometry", "cell": [[4.408, 0.000, 0.000], [0.000, 4.408, 0.000], [0.000, 0.000, 4.408]], "species": ["Zn", "Zn", "Zn", "Fe", "Ta"], "frac_coords": [[0.000, 0.500, 0.000], [0.000, 0.000, 0.500], [0.500, 0.000, 0.000], [0.000, 0.000, 0.000], [0.500, 0.500, 0.500]], "e_form_ev_per_atom": 0.8970, "mass_density_g_cm3": 8.40}


20.
{"formula": "BeWSe2", "functional": "GGA-PBE", "state": "optimized geometry", "cell": [[-3.871, 0.605, 2.158], [-3.465, -2.707, -0.821], [-1.319, -2.946, 3.096]], "species": ["Be", "Se", "Se", "W"], "frac_coords": [[0.500, 0.500, 0.500], [0.000, 0.000, 0.000], [0.750, 0.750, 0.750], [0.250, 0.250, 0.250]], "mass_density_g_cm3": 9.20, "e_form_raw_ev_per_atom": 1.0610}